(1)
Material: LaTm3Cu2
Method: DFT, PBE-GGA
State: optimized geometry

Results
Fermi-level density of states, states/eV/f.u.: 4.81
Volume, A^3/atom: 24.5
Crystal system: tetragonal

Cell and atoms, written as POSCAR:
```
LaTm3Cu2
1.0
3.456 0.000 0.000
0.000 3.456 0.000
0.000 0.000 12.291
La Tm Cu
1 3 2
Direct
0.000 0.000 0.000 La
0.500 0.500 0.227 Tm
0.500 0.500 0.500 Tm
0.500 0.500 0.773 Tm
0.000 0.000 0.359 Cu
0.000 0.000 0.641 Cu
```

***

(2)
Material: Nd3Cd2Hg6
Method: DFT, PBE-GGA
State: optimized geometry

Results
Fermi-level density of states, states/eV/f.u.: 9.72
Volume, A^3/atom: 27.8
Crystal system: tetragonal

Cell and atoms, written as POSCAR:
```
Nd3Cd2Hg6
1.0
-2.146 2.146 16.614
2.146 -2.146 16.614
2.146 2.146 -16.614
Nd Cd Hg
3 2 6
Direct
0.000 0.000 0.000 Nd
0.178 0.178 0.000 Nd
0.822 0.822 0.000 Nd
0.363 0.363 0.000 Cd
0.637 0.637 0.000 Cd
0.073 0.573 0.500 Hg
0.274 0.274 0.000 Hg
0.427 0.927 0.500 Hg
0.573 0.073 0.500 Hg
0.726 0.726 0.000 Hg
0.927 0.427 0.500 Hg
```

***

(3)
Material: BePb3
Method: DFT, PBE-GGA
State: optimized geometry

Results
Fermi-level density of states, states/eV/f.u.: 1.00
Energy above the most stable polymorph in this dataset, meV/atom: 101
Volume, A^3/atom: 26.7
Crystal system: hexagonal

Cell and atoms, written as POSCAR:
```
BePb3
1.0
3.527 0.000 0.000
-1.764 3.055 0.000
0.000 0.000 9.908
Be Pb
1 3
Direct
0.000 0.000 0.000 Be
0.000 0.000 0.500 Pb
0.667 0.333 0.195 Pb
0.667 0.333 0.805 Pb
```

***

no.,DFT formation energy (eV per atom)
1,-0.175
2,-0.207
3,0.357